Here is an optimized crystal structure of K2RbBi from the Alexandria database. Energies are from PBE-GGA.

Calculated values
Crystal system: orthorhombic
Total magnetic moment: 0.00 μB/f.u.
Space group: Immm, No. 71
Energy relative to the elements: -0.092 eV/atom

Cell: 10.679 10.679 10.679 Å, 158.05 41.39 145.36°
Fractional positions:
K  0.670  0.000  0.670
K  0.330  0.000  0.330
Rb  0.000  0.000  0.000
Bi  0.500  0.000  0.500